A plane-wave DFT calculation with meta-GGA SCAN was carried out for a crystal of TlTeP2 relaxed with PBEsol.

```
4
Lattice="3.966 0.000 0.000 0.000 3.966 0.000 0.000 0.000 5.583" Properties=species:S:1:pos:R:3 pbc="T T T"
Tl 0.000 0.000 0.000
Te 1.983 1.983 2.791
P 0.000 0.000 2.791
P 1.983 1.983 0.000
```

Output
As for the space-group type: P4/mmm (123). As for the crystal system: tetragonal. As for the offset from the most stable computed form: 256 meV/atom. The energy relative to the elements, uncorrected is 0.3147 eV/atom.

=====

A plane-wave DFT calculation with meta-GGA SCAN was carried out for a crystal of AlTeH6C2Cl3 relaxed with PBEsol.

```
52
Lattice="6.332 0.000 0.000 0.000 13.045 0.000 0.000 0.000 10.500" Properties=species:S:1:pos:R:3 pbc="T T T"
Al 0.235 0.835 2.625
Al 0.235 5.687 7.875
Al 6.097 7.357 2.625
Al 6.097 12.210 7.875
Te 0.769 8.334 7.875
Te 0.769 11.232 2.625
Te 5.563 1.812 7.875
Te 5.563 4.710 2.625
H 1.716 8.226 5.369
H 1.716 8.226 10.380
H 1.716 11.341 0.119
H 1.716 11.341 5.130
H 2.790 9.256 6.408
H 2.790 9.256 9.341
H 2.790 10.311 1.158
H 2.790 10.311 4.091
H 2.899 7.444 6.491
H 2.899 7.444 9.259
H 2.899 12.123 1.241
H 2.899 12.123 4.009
H 3.433 0.922 6.491
H 3.433 0.922 9.259
H 3.433 5.601 1.241
H 3.433 5.601 4.009
H 3.542 2.734 6.408
H 3.542 2.734 9.341
H 3.542 3.788 1.158
H 3.542 3.788 4.091
H 4.617 1.704 5.369
H 4.617 1.704 10.380
H 4.617 4.818 0.119
H 4.617 4.818 5.130
C 2.240 8.307 6.331
C 2.240 8.307 9.418
C 2.240 11.259 1.081
C 2.240 11.259 4.169
C 4.092 1.785 6.331
C 4.092 1.785 9.418
C 4.092 4.737 1.081
C 4.092 4.737 4.169
Cl 1.080 1.610 0.825
Cl 1.080 1.610 4.425
Cl 1.080 4.912 6.075
Cl 1.080 4.912 9.675
Cl 1.898 7.554 2.625
Cl 1.898 12.013 7.875
Cl 4.434 1.031 2.625
Cl 4.434 5.491 7.875
Cl 5.253 8.133 0.825
Cl 5.253 8.133 4.425
Cl 5.253 11.434 6.075
Cl 5.253 11.434 9.675
```

Output
As for the space-group type: Pbcm (57). As for the crystal system: orthorhombic.

=====

A plane-wave DFT calculation with meta-GGA SCAN was carried out for a crystal of TlTe2Au relaxed with PBEsol.

```
4
Lattice="6.153 -2.051 0.000 6.153 2.051 0.000 -0.091 0.000 5.402" Properties=species:S:1:pos:R:3 pbc="T T T"
Tl 0.000 0.000 0.000
Te 6.844 0.000 2.722
Te 10.285 0.000 2.669
Au 2.426 0.000 2.698
```

Output
As for the space-group type: Cm (8). As for the crystal system: monoclinic. The energy relative to the elements, uncorrected is -0.2043 eV/atom.

=====

A plane-wave DFT calculation with meta-GGA SCAN was carried out for a crystal of AgTeNF2 relaxed with PBEsol.

```
5
Lattice="4.118 0.000 0.000 0.000 4.118 0.000 0.000 0.000 4.296" Properties=species:S:1:pos:R:3 pbc="T T T"
Ag 0.000 0.000 0.000
Te 2.059 2.059 2.148
N 0.000 0.000 2.148
F 0.000 2.059 0.000
F 2.059 0.000 0.000
```

Output
As for the space-group type: P4/mmm (123). As for the crystal system: tetragonal. The energy relative to the elements, uncorrected is 0.1986 eV/atom.

=====

A plane-wave DFT calculation with meta-GGA SCAN was carried out for a crystal of BaTl2Hg relaxed with PBEsol.

```
4
Lattice="0.000 3.900 3.900 3.900 0.000 3.900 3.900 3.900 0.000" Properties=species:S:1:pos:R:3 pbc="T T T"
Ba 0.000 0.000 0.000
Tl 3.900 3.900 3.900
Tl 5.850 5.850 5.850
Hg 1.950 1.950 1.950
```

Output
As for the space-group type: F-43m (216). As for the crystal system: cubic. As for the offset from the most stable computed form: 0 meV/atom. Its energy of formation is -10.1 kcal/mol of atoms.

=====

A plane-wave DFT calculation with meta-GGA SCAN was carried out for a crystal of Ba2Fe2Bi relaxed with PBEsol.

```
5
Lattice="-3.121 3.121 3.838 3.121 -3.121 3.838 3.121 3.121 -3.838" Properties=species:S:1:pos:R:3 pbc="T T T"
Ba 3.121 0.000 1.919
Ba 0.000 3.121 1.919
Fe 0.000 0.000 1.028
Fe 0.000 0.000 6.647
Bi 0.000 0.000 3.838
```

Output
As for the space-group type: I4/mmm (139). As for the crystal system: tetragonal. Its energy of formation is 7.3 kcal/mol of atoms.

=====

no.,final energy (eV per atom)
1,-32.287
2,-9.057
3,-54.209
4,-16.799
5,-63.545
6,-38.473